DFT (PBE) results for a relaxed Tm2Al2Ge3 crystal.

a b c (Å): 5.631 5.631 7.621
angles (deg): 114.65 114.65 45.19
Atoms (fractional coordinates):
Tm: 0.063 0.063 0.279
Tm: 0.937 0.937 0.721
Al: 0.304 0.304 0.132
Al: 0.696 0.696 0.868
Ge: 0.216 0.216 0.702
Ge: 0.500 0.500 0.000
Ge: 0.784 0.784 0.298

* Fermi-level density of states: 3.20 states/eV/f.u.
* spin magnetization: 0.00 μB/cell
* V: 21.9 Å³ per atom
* distance to the lowest polymorph of the same formula: 0.1757 eV/atom